Record 1
{"formula": "TeIrPt2", "functional": "GGA-PBE", "state": "optimized geometry", "e_tot_ev_per_atom": -5.7881, "sg": "Cmmm, No. 65", "e_form_raw_ev_per_atom": 0.23, "cell": [[-1.296, -3.313, -2.799], [1.312, -2.017, 3.834], [-3.298, 0.233, 1.251]], "species": ["Ir", "Te", "Pt", "Pt"], "fractional_positions": [[0.000, 0.500, 0.500], [0.500, 0.000, 0.500], [0.000, 0.000, 0.000], [0.500, 0.500, 0.000]]}

---

Record 2
{"formula": "Ru2Se", "functional": "GGA-PBE", "state": "optimized geometry", "e_tot_ev_per_atom": -7.0594, "sg": "P-3m1, No. 164", "relative_energy_kj_per_mol_atoms": 21.7, "e_form_raw_ev_per_atom": 0.29, "cell": [[4.134, 0.000, 0.000], [-2.067, 3.581, 0.000], [0.000, 0.000, 3.029]], "species": ["Ru", "Ru", "Se"], "fractional_positions": [[0.333, 0.667, 0.748], [0.667, 0.333, 0.252], [0.000, 0.000, 0.000]]}

---

Record 3
{"formula": "InMo2WAu", "functional": "GGA-PBE", "state": "optimized geometry", "e_tot_ev_per_atom": -5.8131, "sg": "P4/mmm, No. 123", "ef_mev_per_atom": 2313, "cell": [[4.957, 0.000, 0.000], [0.000, 4.828, 0.000], [0.000, 0.000, 4.957]], "species": ["In", "Mo", "Mo", "Au", "W"], "fractional_positions": [[0.000, 0.500, 0.000], [0.500, 0.000, 0.000], [0.000, 0.000, 0.500], [0.000, 0.000, 0.000], [0.500, 0.500, 0.500]]}

---

Record 4
{"formula": "Sm2Cu15Ir2", "functional": "GGA-PBE", "state": "optimized geometry", "e_tot_ev_per_atom": -4.7814, "sg": "R-3m, No. 166", "ef_mev_per_atom": -118, "cell": [[-5.931, 1.659, 2.125], [-3.226, -1.409, -5.482], [-1.921, -5.980, 1.729]], "species": ["Cu", "Cu", "Cu", "Cu", "Cu", "Cu", "Cu", "Cu", "Cu", "Cu", "Cu", "Cu", "Cu", "Cu", "Cu", "Sm", "Sm", "Ir", "Ir"], "fractional_positions": [[0.709, 0.000, 0.291], [0.291, 0.000, 0.709], [0.849, 0.350, 0.350], [0.709, 0.291, 0.000], [0.500, 0.000, 0.000], [0.000, 0.500, 0.000], [0.350, 0.350, 0.849], [0.291, 0.709, 0.000], [0.650, 0.151, 0.650], [0.000, 0.291, 0.709], [0.151, 0.650, 0.650], [0.000, 0.709, 0.291], [0.000, 0.000, 0.500], [0.650, 0.650, 0.151], [0.350, 0.849, 0.350], [0.664, 0.664, 0.664], [0.336, 0.336, 0.336], [0.896, 0.896, 0.896], [0.104, 0.104, 0.104]]}

---

Record 5
{"formula": "LiMg5Rh4", "functional": "GGA-PBE", "state": "optimized geometry", "e_tot_ev_per_atom": -4.3494, "sg": "P4/mmm, No. 123", "ef_mev_per_atom": -420, "cell": [[-2.520, -0.927, -1.693], [-0.962, -1.810, 2.424], [-8.355, 12.169, 5.774]], "species": ["Rh", "Rh", "Rh", "Rh", "Mg", "Mg", "Mg", "Mg", "Mg", "Li"], "fractional_positions": [[0.000, 0.000, 0.404], [0.000, 0.000, 0.596], [0.000, 0.000, 0.208], [0.000, 0.000, 0.792], [0.500, 0.500, 0.692], [0.500, 0.500, 0.500], [0.500, 0.500, 0.308], [0.500, 0.500, 0.880], [0.500, 0.500, 0.120], [0.000, 0.000, 0.000]]}

---

Record 6
{"formula": "Sm3TmTh4Se8", "functional": "GGA-PBE", "state": "optimized geometry", "e_tot_ev_per_atom": -6.4151, "sg": "R-3m, No. 166", "e_form_raw_ev_per_atom": -1.65, "cell": [[-7.126, 1.751, -3.627], [-4.127, -1.985, 7.152], [5.931, 5.633, 0.303]], "species": ["Se", "Se", "Se", "Se", "Se", "Se", "Se", "Se", "Th", "Th", "Th", "Th", "Sm", "Sm", "Sm", "Tm"], "fractional_positions": [[0.753, 0.738, 0.995], [0.243, 0.738, 0.485], [0.748, 0.743, 0.495], [0.243, 0.738, 0.995], [0.252, 0.257, 0.505], [0.757, 0.262, 0.515], [0.247, 0.262, 0.005], [0.757, 0.262, 0.005], [0.500, 0.000, 0.000], [0.500, 0.000, 0.500], [0.000, 0.000, 0.500], [0.000, 0.000, 0.000], [0.500, 0.500, 0.500], [0.000, 0.500, 0.500], [0.500, 0.500, 0.000], [0.000, 0.500, 0.000]]}

---

Record 7
{"formula": "YZn2Cl", "functional": "GGA-PBE", "state": "optimized geometry", "e_tot_ev_per_atom": -2.7366, "sg": "Fm-3m, No. 225", "relative_energy_kj_per_mol_atoms": 55.4, "e_form_raw_ev_per_atom": -0.02, "cell": [[3.486, 3.649, 0.198], [-0.187, 3.476, 3.659], [3.464, -0.013, 3.675]], "species": ["Zn", "Zn", "Cl", "Y"], "fractional_positions": [[0.250, 0.250, 0.250], [0.750, 0.750, 0.750], [0.000, 0.000, 0.000], [0.500, 0.500, 0.500]]}

---

Record 8
{"formula": "V4MoRu2", "functional": "GGA-PBE", "state": "optimized geometry", "e_tot_ev_per_atom": -8.3824, "sg": "I4/mmm, No. 139", "ef_mev_per_atom": 1026, "cell": [[-3.982, 0.193, -2.017], [0.799, -3.937, -1.955], [-4.169, -4.784, 2.824]], "species": ["Ru", "Ru", "V", "V", "V", "V", "Mo"], "fractional_positions": [[0.617, 0.617, 0.766], [0.383, 0.383, 0.234], [0.000, 0.500, 0.000], [0.800, 0.800, 0.400], [0.200, 0.200, 0.600], [0.500, 0.000, 0.000], [0.000, 0.000, 0.000]]}

---

Record 9
{"formula": "Ho3Er2Pu", "functional": "GGA-PBE", "state": "optimized geometry", "e_tot_ev_per_atom": -5.5895, "sg": "Ibam, No. 72", "ef_mev_per_atom": 609, "cell": [[9.794, 0.000, 5.612], [3.433, 6.052, 5.361], [1.593, 1.065, 8.571]], "species": ["Er", "Er", "Er", "Er", "Ho", "Ho", "Ho", "Ho", "Ho", "Ho", "Pu", "Pu"], "fractional_positions": [[0.644, 0.102, 0.102], [0.152, 0.602, 0.602], [0.848, 0.398, 0.398], [0.356, 0.898, 0.898], [0.500, 0.750, 0.250], [0.234, 0.516, 0.016], [0.500, 0.250, 0.750], [0.766, 0.484, 0.984], [0.234, 0.016, 0.516], [0.766, 0.984, 0.484], [0.000, 0.000, 0.000], [0.000, 0.500, 0.500]]}

---

Record 10
{"formula": "GdFe4Os", "functional": "GGA-PBE", "state": "optimized geometry", "e_tot_ev_per_atom": -9.7059, "sg": "F-43m, No. 216", "ef_mev_per_atom": 154, "cell": [[-4.300, -1.507, -1.985], [-3.618, -1.736, 2.933], [-4.132, 2.674, 0.697]], "species": ["Fe", "Fe", "Fe", "Fe", "Os", "Gd"], "fractional_positions": [[0.128, 0.624, 0.624], [0.624, 0.624, 0.624], [0.624, 0.624, 0.128], [0.624, 0.128, 0.624], [0.250, 0.250, 0.250], [0.000, 0.000, 0.000]]}

---

Record 11
{"formula": "Ta2CoHg", "functional": "GGA-PBE", "state": "optimized geometry", "e_tot_ev_per_atom": -7.5223, "sg": "Immm, No. 71", "ef_mev_per_atom": 256, "cell": [[5.121, -0.142, 0.063], [3.961, 3.248, 0.063], [1.814, 0.620, 3.902]], "species": ["Co", "Ta", "Ta", "Hg"], "fractional_positions": [[0.750, 0.750, 0.750], [0.484, 0.484, 0.516], [0.016, 0.016, 0.984], [0.250, 0.250, 0.250]]}

---

Record 12
{"formula": "SrTl2Re", "functional": "GGA-PBE", "state": "optimized geometry", "e_tot_ev_per_atom": -3.9477, "sg": "Pm, No. 6", "ef_mev_per_atom": 768, "relative_energy_kj_per_mol_atoms": 19.0, "cell": [[5.367, 0.000, 0.000], [0.000, 3.170, -0.304], [0.000, 0.579, 5.843]], "species": ["Tl", "Tl", "Re", "Sr"], "fractional_positions": [[0.500, 0.250, 0.273], [0.000, 0.248, 0.988], [0.000, 0.253, 0.492], [0.500, 0.749, 0.748]]}